A plane-wave DFT calculation with PBE-GGA was carried out for crystalline RbLaLu at its relaxed geometry.

Values from the calculation:
The uncorrected energy is -2.19 eV per atom. For the calculated density, the calculation gives 5113 kg/m³.

abc: 8.0353 8.0353 8.0353
angles: 90.00 90.00 90.00
Last column: nearest neighbours and their distance in Å.
Space group F-43m (No. 216)
Symmetry-distinct sites (fractional):
Rb  0.0000  0.0000  0.0000  4 La 3.48, 4 Lu 3.48
La  0.2500  0.2500  0.7500  4 Rb 3.48
Lu  0.2500  0.2500  0.2500  4 Rb 3.48